Below is an optimized crystal structure of PmNd2YP4, with properties calculated at the GGA-PBE level.

mass density = 5.42 g cm⁻³
calculated formation energy = -1562 meV per atom
magnetic moment = 0.0 μB per cell
E = -6.861 eV per atom
density of states at the Fermi level = 0.7 states/eV/f.u.

Cell and atoms, written as CIF:
```
data_PmNd2YP4
_chemical_formula_sum 'Pm1 Nd2 Y1 P4'
_space_group_name_H-M_alt 'P 1 2/m 1'
_space_group_IT_number 10
_cell_length_a 7.136
_cell_length_b 4.124
_cell_length_c 7.136
_cell_angle_alpha 90.00
_cell_angle_beta 109.46
_cell_angle_gamma 90.00
loop_
_space_group_symop_operation_xyz
'x,y,z'
'-x,-y,-z'
'-x,y,-z'
'x,-y,z'
loop_
_atom_site_label
_atom_site_type_symbol
_atom_site_fract_x
_atom_site_fract_y
_atom_site_fract_z
_atom_site_occupancy
Pm1 Pm 0.000 0.000 0.000 1
Nd1 Nd 0.500 0.000 0.500 1
Nd2 Nd 0.500 0.500 0.000 1
Y1 Y 0.000 0.500 0.500 1
P1 P 0.243 0.000 0.745 1
P2 P 0.246 0.500 0.252 1
```